1.
Computed, not measured: a geometry-optimized La6TlGa2 structure at the PBE level of DFT.

Output
**SG**: No. 71
**DOS(E_F)**: 1.25 states/eV per atom
**Offset from the most stable computed form**: 14 meV per atom
**Energy relative to the elements**: -0.365 eV/atom
**Magnetic moment**: 0.000 μB per formula unit
**VASP energy**: -41.3 eV per formula unit
**ρ**: 6.71 g cm⁻³

Cell: 9.125 9.125 9.125 Å, 111.72 111.21 105.56°
Positions (direct):
La 0.044 0.246 0.798
La 0.182 0.279 0.460
La 0.182 0.721 0.903
La 0.325 0.032 0.706
La 0.325 0.619 0.294
La 0.448 0.246 0.202
La 0.552 0.754 0.798
La 0.675 0.381 0.706
La 0.675 0.968 0.294
La 0.818 0.279 0.097
La 0.818 0.721 0.540
La 0.956 0.754 0.202
Tl 0.000 0.000 0.000
Tl 0.500 0.500 0.000
Ga 0.119 0.619 0.500
Ga 0.356 0.000 0.356
Ga 0.644 0.000 0.644
Ga 0.881 0.381 0.500

2.
Computed, not measured: a geometry-optimized La8TlGa2 structure at the PBE level of DFT.

Output
**SG**: No. 12
**DOS(E_F)**: 1.19 states/eV per atom
**Offset from the most stable computed form**: 0 meV per atom
**Energy relative to the elements**: -0.291 eV/atom
**Magnetic moment**: 0.000 μB per formula unit
**VASP energy**: -51.0 eV per formula unit
**ρ**: 6.91 g cm⁻³

Cell: 9.593 9.593 8.262 Å, 113.08 113.08 30.24°
Positions (direct):
La 0.031 0.031 0.254
La 0.189 0.189 0.789
La 0.327 0.327 0.553
La 0.410 0.410 0.038
La 0.590 0.590 0.962
La 0.673 0.673 0.447
La 0.811 0.811 0.211
La 0.969 0.969 0.746
Tl 0.500 0.500 0.500
Ga 0.189 0.189 0.178
Ga 0.811 0.811 0.822

3.
Computed, not measured: a geometry-optimized La12Tl3Ga structure at the PBE level of DFT.

Output
**SG**: No. 123
**DOS(E_F)**: 1.46 states/eV per atom
**Energy relative to the elements**: -0.249 eV/atom
**Magnetic moment**: 0.000 μB per formula unit
**VASP energy**: -73.2 eV per formula unit
**ρ**: 7.61 g cm⁻³

Cell: 5.047 5.047 20.121 Å, 90.00 90.00 90.00°
Positions (direct):
La 0.000 0.000 0.000
La 0.000 0.000 0.245
La 0.000 0.000 0.500
La 0.000 0.000 0.755
La 0.000 0.500 0.119
La 0.000 0.500 0.373
La 0.000 0.500 0.627
La 0.000 0.500 0.881
La 0.500 0.000 0.119
La 0.500 0.000 0.373
La 0.500 0.000 0.627
La 0.500 0.000 0.881
Tl 0.500 0.500 0.247
Tl 0.500 0.500 0.500
Tl 0.500 0.500 0.753
Ga 0.500 0.500 0.000

4.
Computed, not measured: a geometry-optimized La4TlGa3 structure at the PBE level of DFT.

Output
**SG**: No. 123
**DOS(E_F)**: 0.71 states/eV per atom
**Energy relative to the elements**: -0.516 eV/atom
**Magnetic moment**: 0.000 μB per formula unit
**VASP energy**: -35.3 eV per formula unit
**ρ**: 7.15 g cm⁻³

Cell: 5.409 5.409 7.695 Å, 90.00 90.00 90.00°
Positions (direct):
La 0.000 0.500 0.240
La 0.000 0.500 0.760
La 0.500 0.000 0.240
La 0.500 0.000 0.760
Tl 0.000 0.000 0.500
Ga 0.000 0.000 0.000
Ga 0.500 0.500 0.000
Ga 0.500 0.500 0.500

5.
Computed, not measured: a geometry-optimized La2TlGa2 structure at the PBE level of DFT.

Output
**SG**: No. 139
**DOS(E_F)**: 1.34 states/eV per atom
**Offset from the most stable computed form**: 419 meV per atom
**Energy relative to the elements**: -0.140 eV/atom
**Magnetic moment**: 0.000 μB per formula unit
**VASP energy**: -19.0 eV per formula unit
**ρ**: 6.65 g cm⁻³

Cell: 6.816 6.816 6.816 Å, 135.16 135.16 65.28°
Positions (direct):
La 0.250 0.750 0.500
La 0.750 0.250 0.500
Tl 0.000 0.000 0.000
Ga 0.398 0.398 0.000
Ga 0.602 0.602 0.000

6.
Computed, not measured: a geometry-optimized LaTl3Ga structure at the PBE level of DFT.

Output
**SG**: No. 221
**DOS(E_F)**: 1.17 states/eV per atom
**Offset from the most stable computed form**: 545 meV per atom
**Energy relative to the elements**: 0.628 eV/atom
**Magnetic moment**: 0.000 μB per formula unit
**VASP energy**: -11.9 eV per formula unit
**ρ**: 5.85 g cm⁻³

Cell: 6.156 6.156 6.156 Å, 90.00 90.00 90.00°
Positions (direct):
La 0.000 0.000 0.000
Tl 0.000 0.000 0.500
Tl 0.000 0.500 0.000
Tl 0.500 0.000 0.000
Ga 0.500 0.500 0.500

7.
Computed, not measured: a geometry-optimized La2TlGa2 structure at the PBE level of DFT.

Output
**SG**: No. 127
**DOS(E_F)**: 1.10 states/eV per atom
**Offset from the most stable computed form**: 15 meV per atom
**Energy relative to the elements**: -0.545 eV/atom
**Magnetic moment**: 0.000 μB per formula unit
**VASP energy**: -21.0 eV per formula unit
**ρ**: 7.62 g cm⁻³

Cell: 7.632 7.632 4.653 Å, 90.00 90.00 90.00°
Positions (direct):
La 0.174 0.326 0.000
La 0.326 0.826 0.000
La 0.674 0.174 0.000
La 0.826 0.674 0.000
Tl 0.000 0.000 0.500
Tl 0.500 0.500 0.500
Ga 0.122 0.622 0.500
Ga 0.378 0.122 0.500
Ga 0.622 0.878 0.500
Ga 0.878 0.378 0.500

8.
Computed, not measured: a geometry-optimized La2TlGa2 structure at the PBE level of DFT.

Output
**SG**: No. 65
**DOS(E_F)**: 0.96 states/eV per atom
**Offset from the most stable computed form**: 0 meV per atom
**Energy relative to the elements**: -0.559 eV/atom
**Magnetic moment**: 0.000 μB per formula unit
**VASP energy**: -21.1 eV per formula unit
**ρ**: 7.63 g cm⁻³

Cell: 8.291 8.291 3.851 Å, 90.00 90.00 149.26°
Positions (direct):
La 0.127 0.873 0.000
La 0.873 0.127 0.000
Tl 0.500 0.500 0.500
Ga 0.294 0.706 0.500
Ga 0.706 0.294 0.500

- What is the formula in the eighth record?
  La2TlGa2

- What is the formula in the fifth record?
  La2TlGa2

- Look up the VASP energy of the sixth one.
  -11.9 eV per formula unit